Entry 1:
Below is a relaxed BaAg2PbF8 crystal, with properties calculated at the PBE level.

abc: 5.9979 5.9979 7.1377
angles: 114.84 114.84 90.00
Closest atoms and distances in Å follow each position.
Fractional positions:
Ba1 0.7500 0.2500 0.5000  8 F 2.65-2.74
F1 0.3538 0.2719 0.1364  1 Pb 2.24, 1 Ag 2.33
Ag1 0.5000 0.5000 0.0000  4 F 2.33
Ag2 0.2500 0.7500 0.5000  4 F 2.34
Pb1 0.0000 0.0000 0.0000  8 F 2.24-2.26
F2 0.7826 0.8645 0.1364  1 Pb 2.24, 1 Ag 2.33
F3 0.0138 0.3401 0.3105  1 Pb 2.26, 1 Ag 2.34
F4 0.2967 0.9704 0.3105  1 Pb 2.26, 1 Ag 2.34
F5 0.6599 0.7033 0.6895  1 Pb 2.26, 1 Ag 2.34
F6 0.0296 0.9862 0.6895  1 Pb 2.26, 1 Ag 2.34
F7 0.7281 0.2174 0.8636  1 Pb 2.24, 1 Ag 2.33
F8 0.1355 0.6462 0.8636  1 Pb 2.24, 1 Ag 2.33

Calculated values
Symmetry: I-4 (82)
Formation energy from raw total energies in eV/atom: -2.123
DOS(E_F) in states/eV/cell: 2.3

***

Entry 2:
Below is a relaxed AcTm2Pb3 crystal, with properties calculated at the PBE level.

abc: 4.9186 7.5845 10.2248
angles: 90.00 90.00 90.00
Closest atoms and distances in Å follow each position.
Fractional positions:
Tm1 0.5000 0.6278 0.4824  5 Pb 3.22-3.33
Pb1 0.5000 0.2229 0.8354  2 Pb 3.10-3.40, 3 Tm 3.17-3.33, 2 Ac 3.43
Tm2 0.5000 0.1278 0.5176  5 Pb 3.22-3.33
Pb2 0.5000 0.7229 0.1646  2 Pb 3.10-3.40, 3 Tm 3.17-3.33, 2 Ac 3.43
Pb3 0.5000 0.6316 0.8389  2 Pb 3.10-3.40, 2 Tm 3.18, 2 Ac 3.42
Ac1 0.0000 0.9269 0.9175  7 Pb 3.42-3.83, 1 Tm 3.78
Tm3 0.0000 0.9285 0.2872  5 Pb 3.09-3.18
Tm4 0.0000 0.4285 0.7128  5 Pb 3.09-3.18
Pb4 0.0000 0.8636 0.5851  5 Tm 3.09-3.25, 1 Ac 3.43
Pb5 0.0000 0.3636 0.4149  5 Tm 3.09-3.25, 1 Ac 3.43
Pb6 0.5000 0.1316 0.1611  2 Pb 3.10-3.40, 2 Tm 3.18, 2 Ac 3.42
Ac2 0.0000 0.4269 0.0825  7 Pb 3.42-3.83, 1 Tm 3.78

Calculated values
Symmetry: Pmc2_1 (26)
Offset from the most stable computed form in meV/atom: 0
E_form in eV per atom: -0.4306
DOS(E_F) in states/eV/cell: 8.1

***

Entry 3:
Below is a relaxed LaInAg2 crystal, with properties calculated at the PBE level.

abc: 6.0612 6.0612 3.1624
angles: 78.32 78.32 113.35
Closest atoms and distances in Å follow each position.
Fractional positions:
La1 0.0000 0.5000 0.5000  4 Ag 3.12, 2 La 3.16, 2 In 3.33
Ag1 0.5000 0.5000 0.0000  2 In 3.12, 2 La 3.12, 4 Ag 3.16-3.33
Ag2 0.0000 0.0000 0.0000  2 La 3.12, 2 In 3.12, 4 Ag 3.16-3.33
In1 0.5000 0.0000 0.5000  4 Ag 3.12, 2 In 3.16, 2 La 3.33

Calculated values
Symmetry: C2/m (12)
E_form in eV per atom: -0.0136
DOS(E_F) in states/eV/cell: 2.5

***

Entry 4:
Below is a relaxed Dy3ZnH crystal, with properties calculated at the PBE level.

abc: 4.7604 4.7604 4.7604
angles: 90.00 90.00 90.00
Closest atoms and distances in Å follow each position.
Fractional positions:
Dy1 0.0000 0.0000 0.5000  2 H 2.38
Zn1 0.5000 0.5000 0.5000  12 Dy 3.37
H1 0.0000 0.0000 0.0000  6 Dy 2.38
Dy2 0.5000 0.0000 0.0000  2 H 2.38
Dy3 0.0000 0.5000 0.0000  2 H 2.38

Calculated values
Total DFT energy (no corrections) in eV per atom: -3.850
Symmetry: Pm-3m (221)
DOS(E_F) in states/eV/cell: 6.2

***

Entry 5:
Below is a relaxed Na2HgBr crystal, with properties calculated at the PBE level.

abc: 4.0398 4.0398 8.5893
angles: 76.40 76.40 60.00
Closest atoms and distances in Å follow each position.
Fractional positions:
Na1 0.0742 0.0742 0.7775  3 Br 2.97, 3 Hg 3.27
Na2 0.2594 0.2594 0.2218  3 Br 2.97, 3 Hg 3.28
Hg1 0.4997 0.4997 0.5010  6 Na 3.27-3.28
Br1 0.6668 0.6668 0.9997  6 Na 2.97

Calculated values
Symmetry: R3m (160)
Offset from the most stable computed form in meV/atom: 8
Formation energy from raw total energies in eV/atom: -0.772
DOS(E_F) in states/eV/cell: 1.2

***

Entry 6:
Below is a relaxed Hf2GaSnBi crystal, with properties calculated at the PBE level.

abc: 5.4106 4.9955 5.4106
angles: 90.00 90.00 90.00
Closest atoms and distances in Å follow each position.
Fractional positions:
Ga1 0.0000 0.5000 0.0000  2 Sn 2.50
Hf1 0.5000 0.0000 0.0000  2 Sn 2.71
Bi1 0.5000 0.5000 0.5000  8 Hf 3.68, 4 Ga 3.83
Sn1 0.0000 0.0000 0.0000  2 Ga 2.50, 4 Hf 2.71
Hf2 0.0000 0.0000 0.5000  2 Sn 2.71

Calculated values
Symmetry: P4/mmm (123)
E_form in eV per atom: 0.8492
DOS(E_F) in states/eV/cell: 5.8

***

Entry 7:
Below is a relaxed PrDyMgBi crystal, with properties calculated at the PBE level.

abc: 5.5022 5.5022 5.5022
angles: 60.00 60.00 60.00
Closest atoms and distances in Å follow each position.
Fractional positions:
Pr1 0.2500 0.2500 0.2500  4 Bi 3.37, 4 Mg 3.37
Dy1 0.7500 0.7500 0.7500  4 Bi 3.37, 4 Mg 3.37
Bi1 0.5000 0.5000 0.5000  4 Dy 3.37, 4 Pr 3.37
Mg1 0.0000 0.0000 0.0000  4 Pr 3.37, 4 Dy 3.37

Calculated values
Symmetry: F-43m (216)
E_form in eV per atom: -0.3311
DOS(E_F) in states/eV/cell: 4.4

***

Entry 8:
Below is a relaxed Ca2CeMnN4 crystal, with properties calculated at the PBE level.

abc: 3.3861 5.9278 11.7990
angles: 90.00 90.00 106.60
Closest atoms and distances in Å follow each position.
Fractional positions:
Ca1 0.3700 0.7400 0.9587  4 N 2.30-2.51
N1 0.5856 0.1712 0.2500  2 Mn 1.96
Ca2 0.6300 0.2600 0.4587  4 N 2.30-2.51
N2 0.4144 0.8288 0.7500  2 Mn 1.96
N3 0.2783 0.5566 0.3587  1 Mn 1.75
N4 0.0000 0.0000 0.0000  4 Ca 2.30
N5 0.0000 0.0000 0.5000  4 Ca 2.30
Ce1 0.0949 0.1898 0.7500  6 N 2.57-2.66
Ca3 0.6300 0.2600 0.0413  4 N 2.30-2.51
N6 0.7217 0.4434 0.6413  1 Mn 1.75
Ca4 0.3700 0.7400 0.5413  4 N 2.30-2.51
N7 0.2783 0.5566 0.1413  1 Mn 1.75
Mn1 0.1733 0.3465 0.2500  2 N 1.75
Ce2 0.9051 0.8102 0.2500  6 N 2.57-2.66
N8 0.7217 0.4434 0.8587  1 Mn 1.75
Mn2 0.8267 0.6535 0.7500  2 N 1.75

Calculated values
Symmetry: Cmcm (63)
Formation energy from raw total energies in eV/atom: -0.803
DOS(E_F) in states/eV/cell: 7.1

***

- Which of these has the highest DOS(E_F)?
  AcTm2Pb3

***

- The lowest DOS(E_F) belongs to which entry?
  Na2HgBr